Below is a geometry-optimized FeSnN2O structure, with properties calculated at the GGA+U level.

The structure in CIF format:
```
data_FeSnN2O
_cell_length_a 4.134
_cell_length_b 4.134
_cell_length_c 4.050
_cell_angle_alpha 90.00
_cell_angle_beta 90.00
_cell_angle_gamma 90.00
_symmetry_space_group_name_H-M 'P 4/m m m'
_symmetry_Int_Tables_number 123
_symmetry_space_group_name_Hall '-P 4 2'
loop_
_atom_site_label
_atom_site_fract_x
_atom_site_fract_y
_atom_site_fract_z
Fe1 0.000 0.000 0.000
Sn1 0.500 0.500 0.500
N1 0.000 0.500 0.500
O1 0.500 0.500 0.000
```

Calculated values
The calculation puts the energy at -5.27 eV/atom.